[1]
## Zn8Cr (meta-GGA SCAN)

Data for Zn8Cr at its PBEsol-relaxed geometry.

a b c (Å): 3.8247 6.0109 6.0109
angles (deg): 84.19 71.45 71.45
Closest atoms and distances in Å follow each position.
Fractional positions:
Zn1 0.3331 0.0000 0.3337  10 Zn 2.68-2.70, 2 Cr 2.70
Zn2 0.3331 0.3337 0.0000  10 Zn 2.68-2.70, 2 Cr 2.70
Zn3 0.6669 0.6663 0.0000  10 Zn 2.68-2.70, 2 Cr 2.70
Zn4 0.3342 0.6658 0.6658  11 Zn 2.67-2.70, 1 Cr 2.69
Zn5 0.6658 0.3342 0.3342  11 Zn 2.67-2.70, 1 Cr 2.69
Zn6 0.6669 0.0000 0.6663  10 Zn 2.68-2.70, 2 Cr 2.70
Zn7 0.0000 0.3342 0.6658  11 Zn 2.67-2.70, 1 Cr 2.69
Zn8 0.0000 0.6658 0.3342  11 Zn 2.67-2.70, 1 Cr 2.69
Cr1 0.0000 0.0000 0.0000  12 Zn 2.69-2.70

## Properties
Formation enthalpy at 0 K   -13 meV per atom
Space group   I4/mmm, No. 139

=====

[2]
## Li5Ti2V3O10 (meta-GGA SCAN)

Data for Li5Ti2V3O10 at its PBEsol-relaxed geometry.

a b c (Å): 5.0087 4.9908 7.6394
angles (deg): 71.12 71.42 80.09
Closest atoms and distances in Å follow each position.
Fractional positions:
V1 0.9949 0.3186 0.9038  6 O 1.98-2.07
V2 0.5000 0.0000 0.0000  6 O 2.00-2.05
V3 0.0051 0.6814 0.0962  6 O 1.98-2.07
O1 0.2413 0.5544 0.6608  1 Ti 1.94, 4 Li 1.94-2.08, 1 V 2.00
O2 0.7331 0.6489 0.9523  3 V 1.98-2.06, 2 Li 2.06-2.15, 1 Ti 2.08
O3 0.7587 0.4456 0.3392  1 Ti 1.94, 4 Li 1.94-2.08, 1 V 2.00
O4 0.7629 0.2450 0.7569  3 Li 1.99-2.16, 2 V 2.00-2.05, 1 Ti 2.05
O5 0.2390 0.9632 0.8524  3 V 2.04-2.07, 1 Ti 2.05, 2 Li 2.16-2.21
O6 0.7610 0.0368 0.1476  3 V 2.04-2.07, 1 Ti 2.05, 2 Li 2.16-2.21
O7 0.2371 0.7550 0.2431  3 Li 1.99-2.16, 2 V 2.00-2.05, 1 Ti 2.05
O8 0.2305 0.1329 0.4525  2 Ti 1.93-2.00, 4 Li 2.02-2.11
O9 0.7695 0.8671 0.5475  2 Ti 1.93-2.00, 4 Li 2.02-2.11
O10 0.2669 0.3511 0.0477  3 V 1.98-2.06, 2 Li 2.06-2.15, 1 Ti 2.08
Li1 0.5186 0.5996 0.7766  5 O 1.94-2.15
Li2 0.5014 0.7794 0.4123  6 O 2.03-2.16
Li3 0.4986 0.2206 0.5877  6 O 2.03-2.16
Li4 0.0000 0.5000 0.5000  6 O 2.06-2.08
Li5 0.4814 0.4004 0.2234  5 O 1.94-2.15
Ti1 0.9991 0.1102 0.2987  6 O 1.93-2.08
Ti2 0.0009 0.8898 0.7013  6 O 1.93-2.08

## Properties
Electronic total energy   -213.2 eV/cell
Space group   P-1, No. 2

=====

[3]
## CdHgBr2 (meta-GGA SCAN)

Data for CdHgBr2 at its PBEsol-relaxed geometry.

a b c (Å): 6.8626 6.8626 6.8626
angles (deg): 116.36 106.14 106.14
Closest atoms and distances in Å follow each position.
Fractional positions:
Cd1 0.5000 0.2500 0.7500  4 Br 2.64
Cd2 0.0000 0.5000 0.5000  4 Br 2.64
Br1 0.4168 0.5418 0.6250  2 Cd 2.64
Br2 0.0832 0.8750 0.4582  2 Cd 2.64
Br3 0.9168 0.3750 0.7918  2 Cd 2.64
Br4 0.5832 0.2082 0.1250  2 Cd 2.64
Hg1 0.5000 0.7500 0.2500  8 Br 3.55-3.68, 2 Cd 3.62
Hg2 0.0000 0.0000 0.0000  8 Br 3.55-3.68, 2 Cd 3.62

## Properties
Offset from the most stable computed form   101.5 meV per atom
Space group   I-42d, No. 122

=====

Question: Which formula does entry 1 have?
Answer: Zn8Cr